A plane-wave DFT calculation with PBE-GGA was carried out for a geometry-optimized La3TlRu structure.

Unit cell a=13.149 b=10.039 c=9.660 alpha=90.00 beta=107.89 gamma=90.00
Space group C2/c (No. 15)
Symmetry-distinct sites (fractional):
La 0.088 0.184 0.458 x8
La 0.113 0.404 0.035 x8
La 0.242 0.421 0.806 x8
Tl 0.116 0.129 0.839 x8
Ru 0.000 0.362 0.250 x4
Ru 0.000 0.382 0.750 x4

Computed properties:
energy above the most stable polymorph in this dataset: 0.227 eV/atom
E_form: -0.16 eV per atom